PrGdPdRu | GGA-PBE | relaxed

abc: 7.079 7.079 7.079
angles: 90.00 90.00 90.00
Space group F-43m (No. 216)
Asymmetric unit:
1 Pr 0.000 0.000 0.000 (multiplicity 4)
2 Gd 0.000 0.000 0.500 (multiplicity 4)
3 Pd 0.250 0.250 0.750 (multiplicity 4)
4 Ru 0.250 0.250 0.250 (multiplicity 4)

The value obtained for the calculated total energy is -35.21 eV per formula unit. As for the crystal system: cubic. The total magnetization comes out at 1.78 μB per atom.

***

PrGdTlPd | GGA-PBE | relaxed

abc: 7.502 7.502 7.502
angles: 90.00 90.00 90.00
Space group F-43m (No. 216)
Asymmetric unit:
1 Pr 0.000 0.000 0.000 (multiplicity 4)
2 Gd 0.000 0.000 0.500 (multiplicity 4)
3 Tl 0.250 0.250 0.750 (multiplicity 4)
4 Pd 0.250 0.250 0.250 (multiplicity 4)

The value obtained for the calculated total energy is -28.40 eV per formula unit. As for the crystal system: cubic. The total magnetization comes out at 1.83 μB per atom.

***

GdPd2Pt | GGA-PBE | relaxed

abc: 6.634 6.634 6.634
angles: 90.00 90.00 90.00
Space group Fm-3m (No. 225)
Asymmetric unit:
1 Gd 0.000 0.000 0.000 (multiplicity 4)
2 Pd 0.250 0.250 0.250 (multiplicity 8)
3 Pt 0.000 0.000 0.500 (multiplicity 4)

The offset from the most stable computed form is 0.165 eV/atom. The value obtained for the calculated total energy is -33.39 eV per formula unit. As for the crystal system: cubic. The total magnetization comes out at 1.77 μB per atom.

***

Gd2PdPt | GGA-PBE | relaxed

abc: 5.013 5.013 3.514
angles: 90.00 90.00 90.00
Space group P4/mmm (No. 123)
Asymmetric unit:
1 Gd 0.000 0.500 0.000 (multiplicity 2)
2 Pd 0.000 0.000 0.500 (multiplicity 1)
3 Pt 0.500 0.500 0.500 (multiplicity 1)

The value obtained for the calculated total energy is -43.42 eV per formula unit. As for the crystal system: tetragonal. The total magnetization comes out at 3.57 μB per atom.

***

GdPd2Pt | GGA-PBE | relaxed

abc: 4.160 4.160 4.122
angles: 90.00 90.00 90.00
Space group P4/mmm (No. 123)
Asymmetric unit:
1 Gd 0.000 0.000 0.000 (multiplicity 1)
2 Pd 0.000 0.500 0.500 (multiplicity 2)
3 Pt 0.500 0.500 0.000 (multiplicity 1)

The offset from the most stable computed form is 0.000 eV/atom. The value obtained for the calculated total energy is -34.05 eV per formula unit. As for the crystal system: tetragonal. The total magnetization comes out at 1.79 μB per atom.

***

GdPuPdPt | GGA-PBE | relaxed

abc: 7.054 7.054 7.054
angles: 90.00 90.00 90.00
Space group F-43m (No. 216)
Asymmetric unit:
1 Gd 0.000 0.000 0.000 (multiplicity 4)
2 Pu 0.000 0.000 0.500 (multiplicity 4)
3 Pd 0.250 0.250 0.250 (multiplicity 4)
4 Pt 0.250 0.250 0.750 (multiplicity 4)

The value obtained for the calculated total energy is -42.75 eV per formula unit. As for the crystal system: cubic. The total magnetization comes out at 3.21 μB per atom.

***

Look up the total magnetization of the third one. 1.77 μB per atom